Computed, not measured: an optimized crystal structure of Sb3HS at the PBE-GGA level of DFT.

abc: 4.6774 4.6774 4.6774
angles: 90.00 90.00 90.00
Sites, in units of the cell vectors:
Sb1 0.0000 0.0000 0.5000
Sb2 0.0000 0.5000 0.0000
Sb3 0.5000 0.0000 0.0000
H1 0.0000 0.0000 0.0000
S1 0.5000 0.5000 0.5000

Properties
ΔE to the lowest computed polymorph = 0.000 eV per atom
SG = Pm-3m (221)

Computed, not measured: an optimized crystal structure of Ba3Ta2AgS9 at the PBE-GGA level of DFT.

abc: 6.9502 6.9502 9.0727
angles: 90.00 90.00 120.00
Sites, in units of the cell vectors:
Ba1 0.0000 0.0000 0.0000
Ba2 0.3333 0.6667 0.7073
Ba3 0.6667 0.3333 0.2927
Ta1 0.3333 0.6667 0.1839
Ta2 0.6667 0.3333 0.8161
Ag1 0.0000 0.0000 0.5000
S1 0.0000 0.5000 0.0000
S2 0.1655 0.3310 0.3098
S3 0.1655 0.8345 0.3098
S4 0.3310 0.1655 0.6902
S5 0.5000 0.0000 0.0000
S6 0.5000 0.5000 0.0000
S7 0.6690 0.8345 0.3098
S8 0.8345 0.1655 0.6902
S9 0.8345 0.6690 0.6902

Properties
E_form (uncorrected) = -18.37 eV/f.u.
SG = P-3m1 (164)

Computed, not measured: an optimized crystal structure of Mg2Tl5Br12 at the PBE-GGA level of DFT.

abc: 9.6720 9.6720 9.5941
angles: 107.34 107.34 49.54
Sites, in units of the cell vectors:
Mg1 0.2436 0.7564 0.0000
Mg2 0.7564 0.2436 0.0000
Tl1 0.1820 0.1820 0.8453
Tl2 0.2049 0.2049 0.3645
Tl3 0.5000 0.5000 0.5000
Tl4 0.7951 0.7951 0.6355
Tl5 0.8180 0.8180 0.1547
Br1 0.0066 0.0066 0.1966
Br2 0.0841 0.5931 0.9192
Br3 0.1437 0.6143 0.4217
Br4 0.3857 0.8563 0.5783
Br5 0.4069 0.9159 0.0808
Br6 0.4895 0.4895 0.8066
Br7 0.5105 0.5105 0.1934
Br8 0.5931 0.0841 0.9192
Br9 0.6143 0.1437 0.4217
Br10 0.8563 0.3857 0.5783
Br11 0.9159 0.4069 0.0808
Br12 0.9934 0.9934 0.8034

Properties
E_form (uncorrected) = -16.87 eV/f.u.
SG = C2/m (12)

Here are the calculated DOS(E_F) numbers, same order: 3.8 10.8 11.2 (states/eV/f.u.).